a:
Density functional theory data (PBE) for a relaxed BeCu2Au8 crystal.

Lattice parameters (Å, degrees): 7.3207 7.3207 7.3207 147.97 115.93 73.44
Closest atoms and distances in Å follow each position.
Element x y z (fractional)
Be (0.0000, 0.0000, 0.0000)  4 Au 2.50
Cu (0.3039, 0.3039, 0.0000)  10 Au 2.68-2.90
Cu (0.6961, 0.6961, 0.0000)  10 Au 2.68-2.90
Au (0.1086, 0.8379, 0.2707)  3 Cu 2.68-2.72, 6 Au 2.80-2.95, 1 Be 2.84
Au (0.1260, 0.6260, 0.5000)  2 Be 2.50
Au (0.3222, 0.5000, 0.8222)  2 Cu 2.68, 7 Au 2.76-2.91
Au (0.4328, 0.1621, 0.2707)  3 Cu 2.68-2.72, 6 Au 2.80-2.95, 1 Be 2.84
Au (0.5672, 0.8379, 0.7293)  3 Cu 2.68-2.72, 6 Au 2.80-2.95, 1 Be 2.84
Au (0.6778, 0.5000, 0.1778)  2 Cu 2.68, 7 Au 2.76-2.91
Au (0.8740, 0.3740, 0.5000)  2 Be 2.50
Au (0.8914, 0.1621, 0.7293)  3 Cu 2.68-2.72, 6 Au 2.80-2.95, 1 Be 2.84

magnetic moment = 0.000 μB/atom

b:
Density functional theory data (PBE) for a relaxed BeCu2Au8 crystal.

Lattice parameters (Å, degrees): 6.5901 6.5901 4.9212 104.03 104.03 84.60
Closest atoms and distances in Å follow each position.
Element x y z (fractional)
Be (0.0000, 0.0000, 0.0000)  2 Cu 2.34, 6 Au 2.43-2.46
Cu (0.1283, 0.1283, 0.4931)  1 Be 2.34, 1 Cu 2.52
Cu (0.8717, 0.8717, 0.5069)  1 Be 2.34, 1 Cu 2.52
Au (0.1525, 0.6987, 0.2034)  1 Be 2.46, 1 Cu 2.66
Au (0.2617, 0.2617, 0.1008)  1 Be 2.43, 1 Cu 2.66
Au (0.3013, 0.8475, 0.7966)  1 Be 2.46, 1 Cu 2.66
Au (0.4150, 0.4150, 0.6966)  1 Cu 2.64, 6 Au 2.82-2.93
Au (0.5850, 0.5850, 0.3034)  1 Cu 2.64, 6 Au 2.82-2.93
Au (0.6987, 0.1525, 0.2034)  1 Be 2.46, 1 Cu 2.66
Au (0.7383, 0.7383, 0.8992)  1 Be 2.43, 1 Cu 2.66
Au (0.8475, 0.3013, 0.7966)  1 Be 2.46, 1 Cu 2.66

magnetic moment = 0.000 μB/atom

Of them, b has the lowest stability.

a:
Density functional theory data (PBE) for a relaxed Be3Cu2Au8 crystal.

Lattice parameters (Å, degrees): 6.6183 6.6183 5.2139 97.23 97.23 69.84
Closest atoms and distances in Å follow each position.
Element x y z (fractional)
Be (0.0000, 0.0000, 0.0000)  2 Au 2.25, 2 Cu 2.38
Be (0.1605, 0.8395, 0.5000)  4 Au 2.40-2.46, 1 Be 2.43
Be (0.8395, 0.1605, 0.5000)  4 Au 2.40-2.46, 1 Be 2.43
Cu (0.1910, 0.1910, 0.8286)  1 Be 2.38, 4 Au 2.52-2.61
Cu (0.8090, 0.8090, 0.1714)  1 Be 2.38, 4 Au 2.52-2.61
Au (0.1602, 0.1602, 0.3298)  3 Be 2.25-2.40
Au (0.1956, 0.5752, 0.1171)  1 Be 2.46, 1 Cu 2.52
Au (0.3967, 0.3967, 0.6271)  1 Cu 2.61, 4 Au 2.77-2.91
Au (0.4248, 0.8044, 0.8829)  1 Be 2.46, 1 Cu 2.52
Au (0.5752, 0.1956, 0.1171)  1 Be 2.46, 1 Cu 2.52
Au (0.6033, 0.6033, 0.3729)  1 Cu 2.61, 4 Au 2.77-2.91
Au (0.8044, 0.4248, 0.8829)  1 Be 2.46, 1 Cu 2.52
Au (0.8398, 0.8398, 0.6702)  3 Be 2.25-2.40

magnetic moment = 0.000 μB/atom

b:
Density functional theory data (PBE) for a relaxed Be3Cu2Au8 crystal.

Lattice parameters (Å, degrees): 7.5782 4.0828 7.5866 90.00 116.00 90.00
Closest atoms and distances in Å follow each position.
Element x y z (fractional)
Be (0.0000, 0.0000, 0.0000)  8 Au 2.51-2.54
Be (0.2538, 0.5000, 0.2529)  8 Au 2.48-2.53
Be (0.7462, 0.5000, 0.7471)  8 Au 2.48-2.53
Cu (0.2489, 0.0000, 0.7488)  8 Au 2.64-2.68
Cu (0.7511, 0.0000, 0.2512)  8 Au 2.64-2.68
Au (0.1168, 0.5000, 0.8827)  4 Be 2.53-2.54, 2 Cu 2.66
Au (0.1402, 0.0000, 0.3673)  3 Be 2.51, 2 Cu 2.64-2.68
Au (0.3684, 0.0000, 0.1381)  3 Be 2.52, 2 Cu 2.64-2.68
Au (0.3829, 0.5000, 0.6170)  2 Be 2.48-2.49, 2 Cu 2.66
Au (0.6171, 0.5000, 0.3830)  2 Be 2.48-2.49, 2 Cu 2.66
Au (0.6316, 0.0000, 0.8619)  3 Be 2.52, 2 Cu 2.64-2.68
Au (0.8598, 0.0000, 0.6327)  3 Be 2.51, 2 Cu 2.64-2.68
Au (0.8832, 0.5000, 0.1173)  4 Be 2.53-2.54, 2 Cu 2.66

magnetic moment = 0.000 μB/atom

Of them, a has the lowest stability.

a:
Density functional theory data (PBE) for a relaxed BeFeCuAu2 crystal.

Lattice parameters (Å, degrees): 4.7177 4.7177 4.3568 90.00 90.00 90.00
Closest atoms and distances in Å follow each position.
Element x y z (fractional)
Be (0.0000, 0.0000, 0.0000)  8 Au 3.21, 4 Fe 3.34
Fe (0.5000, 0.5000, 0.0000)  2 Cu 2.18
Cu (0.5000, 0.5000, 0.5000)  2 Fe 2.18, 4 Au 2.36
Au (0.0000, 0.5000, 0.5000)  2 Cu 2.36
Au (0.5000, 0.0000, 0.5000)  2 Cu 2.36

magnetic moment = 0.620 μB/atom

b:
Density functional theory data (PBE) for a relaxed BeFeCuAu2 crystal.

Lattice parameters (Å, degrees): 4.7436 4.7436 3.9113 90.00 90.00 90.00
Closest atoms and distances in Å follow each position.
Element x y z (fractional)
Be (0.0000, 0.0000, 0.0000)  2 Cu 1.96
Fe (0.5000, 0.5000, 0.0000)  8 Au 3.07, 4 Be 3.35
Cu (0.0000, 0.0000, 0.5000)  2 Be 1.96
Au (0.0000, 0.5000, 0.5000)  2 Cu 2.37
Au (0.5000, 0.0000, 0.5000)  2 Cu 2.37

magnetic moment = 0.636 μB/atom

Of them, a has the lowest stability.

a:
Density functional theory data (PBE) for a relaxed BeAuNF2 crystal.

Lattice parameters (Å, degrees): 3.1704 3.1704 6.5020 90.00 90.00 90.00
Closest atoms and distances in Å follow each position.
Element x y z (fractional)
Be (0.0000, 0.0000, 0.0000)  4 F 1.59
Au (0.5000, 0.5000, 0.5000)  4 N 2.24
N (0.0000, 0.0000, 0.5000)  4 Au 2.24
F (0.0000, 0.5000, 0.0000)  2 Be 1.59
F (0.5000, 0.0000, 0.0000)  2 Be 1.59

magnetic moment = 0.167 μB/atom

b:
Density functional theory data (PBE) for a relaxed BeAuNF2 crystal.

Lattice parameters (Å, degrees): 4.6138 4.6138 3.7649 90.00 90.00 90.00
Closest atoms and distances in Å follow each position.
Element x y z (fractional)
Be (0.0000, 0.0000, 0.0000)  8 F 2.98, 4 N 3.26
Au (0.5000, 0.5000, 0.5000)  2 N 1.88
N (0.5000, 0.5000, 0.0000)  2 Au 1.88
F (0.0000, 0.5000, 0.5000)  2 Au 2.31
F (0.5000, 0.0000, 0.5000)  2 Au 2.31

magnetic moment = 0.201 μB/atom

Of them, b has the lowest stability.

a:
Density functional theory data (PBE) for a relaxed BeAuN2F crystal.

Lattice parameters (Å, degrees): 3.9282 3.9282 4.9914 90.00 90.00 90.00
Closest atoms and distances in Å follow each position.
Element x y z (fractional)
Be (0.0000, 0.0000, 0.0000)  4 F 2.78
Au (0.5000, 0.5000, 0.5000)  4 N 1.96
N (0.0000, 0.5000, 0.5000)  2 Au 1.96
N (0.5000, 0.0000, 0.5000)  2 Au 1.96
F (0.5000, 0.5000, 0.0000)  2 Au 2.50, 4 Be 2.78

magnetic moment = 0.445 μB/atom

b:
Density functional theory data (PBE) for a relaxed BeAuN2F crystal.

Lattice parameters (Å, degrees): 3.7822 3.7822 3.3133 90.00 90.00 90.00
Closest atoms and distances in Å follow each position.
Element x y z (fractional)
Be (0.0000, 0.0000, 0.0000)  2 F 1.66
Au (0.5000, 0.5000, 0.5000)  8 N 2.51, 4 F 2.67
N (0.0000, 0.5000, 0.0000)  2 Be 1.89
N (0.5000, 0.0000, 0.0000)  2 Be 1.89
F (0.0000, 0.0000, 0.5000)  2 Be 1.66

magnetic moment = 0.000 μB/atom

Of them, a has the lowest stability.

a:
Density functional theory data (PBE) for a relaxed BeFeAu3 crystal.

Lattice parameters (Å, degrees): 4.3911 4.3911 4.3911 90.00 90.00 90.00
Closest atoms and distances in Å follow each position.
Element x y z (fractional)
Be (0.0000, 0.0000, 0.0000)  6 Au 2.20
Fe (0.5000, 0.5000, 0.5000)  12 Au 3.10
Au (0.0000, 0.0000, 0.5000)  2 Be 2.20
Au (0.0000, 0.5000, 0.0000)  2 Be 2.20
Au (0.5000, 0.0000, 0.0000)  2 Be 2.20

magnetic moment = 0.650 μB/atom

b:
Density functional theory data (PBE) for a relaxed BeFeAu3 crystal.

Lattice parameters (Å, degrees): 4.8071 4.8071 4.8071 90.00 90.00 90.00
Closest atoms and distances in Å follow each position.
Element x y z (fractional)
Be (0.0000, 0.0000, 0.0000)  12 Au 3.40
Fe (0.5000, 0.5000, 0.5000)  6 Au 2.40
Au (0.0000, 0.5000, 0.5000)  2 Fe 2.40
Au (0.5000, 0.0000, 0.5000)  2 Fe 2.40
Au (0.5000, 0.5000, 0.0000)  2 Fe 2.40

magnetic moment = 0.679 μB/atom

Of them, b has the lowest stability.

a:
Density functional theory data (PBE) for a relaxed BeFe3Au crystal.

Lattice parameters (Å, degrees): 4.7191 4.7191 4.7191 90.00 90.00 90.00
Closest atoms and distances in Å follow each position.
Element x y z (fractional)
Be (0.0000, 0.0000, 0.0000)  12 Fe 3.34
Fe (0.0000, 0.5000, 0.5000)  2 Au 2.36
Fe (0.5000, 0.0000, 0.5000)  2 Au 2.36
Fe (0.5000, 0.5000, 0.0000)  2 Au 2.36
Au (0.5000, 0.5000, 0.5000)  6 Fe 2.36

magnetic moment = 1.868 μB/atom

b:
Density functional theory data (PBE) for a relaxed BeFe3Au crystal.

Lattice parameters (Å, degrees): 4.0130 4.0130 4.0130 90.00 90.00 90.00
Closest atoms and distances in Å follow each position.
Element x y z (fractional)
Be (0.0000, 0.0000, 0.0000)  6 Fe 2.01
Fe (0.0000, 0.0000, 0.5000)  2 Be 2.01
Fe (0.0000, 0.5000, 0.0000)  2 Be 2.01
Fe (0.5000, 0.0000, 0.0000)  2 Be 2.01
Au (0.5000, 0.5000, 0.5000)  12 Fe 2.84

magnetic moment = 1.436 μB/atom

Of them, a has the lowest stability.

a:
Density functional theory data (PBE) for a relaxed BeGaAu crystal.

Lattice parameters (Å, degrees): 10.0862 10.0862 10.0862 162.65 162.65 24.63
Closest atoms and distances in Å follow each position.
Element x y z (fractional)
Be (0.2194, 0.2194, 0.0000)  5 Au 2.43-2.47, 4 Be 2.47
Be (0.7806, 0.7806, 0.0000)  5 Au 2.43-2.47, 4 Be 2.47
Ga (0.0634, 0.0634, 0.0000)  1 Ga 2.50
Ga (0.9366, 0.9366, 0.0000)  1 Ga 2.50
Au (0.3425, 0.3425, 0.0000)  5 Be 2.43-2.47
Au (0.6575, 0.6575, 0.0000)  5 Be 2.43-2.47

magnetic moment = 0.000 μB/atom

b:
Density functional theory data (PBE) for a relaxed BeGaAu crystal.

Lattice parameters (Å, degrees): 4.0146 4.0146 4.0146 60.00 60.00 60.00
Closest atoms and distances in Å follow each position.
Element x y z (fractional)
Be (0.0000, 0.0000, 0.0000)  4 Ga 2.46, 4 Au 2.46
Ga (0.2500, 0.2500, 0.2500)  4 Be 2.46
Au (0.7500, 0.7500, 0.7500)  4 Be 2.46

magnetic moment = 0.000 μB/atom

Of them, b has the lowest stability.

a:
Density functional theory data (PBE) for a relaxed BeGaAu3 crystal.

Lattice parameters (Å, degrees): 3.7407 5.6564 8.1259 90.00 90.00 90.00
Closest atoms and distances in Å follow each position.
Element x y z (fractional)
Be (0.2500, 0.2500, 0.0778)  7 Au 2.37-2.54
Be (0.7500, 0.7500, 0.9222)  7 Au 2.37-2.54
Ga (0.2500, 0.7500, 0.3751)  8 Au 2.67-2.93
Ga (0.7500, 0.2500, 0.6249)  8 Au 2.67-2.93
Au (0.2500, 0.0029, 0.8428)  3 Be 2.37-2.44
Au (0.2500, 0.2500, 0.3901)  1 Be 2.54, 4 Ga 2.67-2.83
Au (0.2500, 0.4971, 0.8428)  3 Be 2.37-2.44
Au (0.7500, 0.5029, 0.1572)  3 Be 2.37-2.44
Au (0.7500, 0.7500, 0.6099)  1 Be 2.54, 4 Ga 2.67-2.83
Au (0.7500, 0.9971, 0.1572)  3 Be 2.37-2.44

magnetic moment = 0.000 μB/atom

b:
Density functional theory data (PBE) for a relaxed BeGaAu3 crystal.

Lattice parameters (Å, degrees): 4.5283 4.5283 4.5283 90.00 90.00 90.00
Closest atoms and distances in Å follow each position.
Element x y z (fractional)
Be (0.0000, 0.0000, 0.0000)  6 Au 2.26
Ga (0.5000, 0.5000, 0.5000)  12 Au 3.20
Au (0.0000, 0.0000, 0.5000)  2 Be 2.26
Au (0.0000, 0.5000, 0.0000)  2 Be 2.26
Au (0.5000, 0.0000, 0.0000)  2 Be 2.26

magnetic moment = 0.000 μB/atom

c:
Density functional theory data (PBE) for a relaxed BeGaAu3 crystal.

Lattice parameters (Å, degrees): 3.0910 7.4412 7.3086 90.00 90.00 90.00
Closest atoms and distances in Å follow each position.
Element x y z (fractional)
Be (0.2500, 0.2500, 0.0222)  8 Au 2.50-2.54
Be (0.7500, 0.7500, 0.9778)  8 Au 2.50-2.54
Ga (0.2500, 0.2500, 0.5963)  6 Au 2.67-2.74
Ga (0.7500, 0.7500, 0.4037)  6 Au 2.67-2.74
Au (0.2500, 0.5562, 0.1641)  3 Be 2.50-2.51, 2 Ga 2.74
Au (0.2500, 0.7500, 0.7018)  2 Be 2.54, 2 Ga 2.67
Au (0.2500, 0.9438, 0.1641)  3 Be 2.50-2.51, 2 Ga 2.74
Au (0.7500, 0.0562, 0.8359)  3 Be 2.50-2.51, 2 Ga 2.74
Au (0.7500, 0.2500, 0.2982)  2 Be 2.54, 2 Ga 2.67
Au (0.7500, 0.4438, 0.8359)  3 Be 2.50-2.51, 2 Ga 2.74

magnetic moment = 0.000 μB/atom

Of them, b has the lowest stability.

a:
Density functional theory data (PBE) for a relaxed BeGa3Au crystal.

Lattice parameters (Å, degrees): 4.9782 4.9782 4.9782 90.00 90.00 90.00
Closest atoms and distances in Å follow each position.
Element x y z (fractional)
Be (0.0000, 0.0000, 0.0000)  12 Ga 3.52
Ga (0.0000, 0.5000, 0.5000)  2 Au 2.49
Ga (0.5000, 0.0000, 0.5000)  2 Au 2.49
Ga (0.5000, 0.5000, 0.0000)  2 Au 2.49
Au (0.5000, 0.5000, 0.5000)  6 Ga 2.49

magnetic moment = 0.000 μB/atom

b:
Density functional theory data (PBE) for a relaxed BeGa3Au crystal.

Lattice parameters (Å, degrees): 4.5025 4.5025 4.5025 90.00 90.00 90.00
Closest atoms and distances in Å follow each position.
Element x y z (fractional)
Be (0.0000, 0.0000, 0.0000)  6 Ga 2.25
Ga (0.0000, 0.0000, 0.5000)  2 Be 2.25
Ga (0.0000, 0.5000, 0.0000)  2 Be 2.25
Ga (0.5000, 0.0000, 0.0000)  2 Be 2.25
Au (0.5000, 0.5000, 0.5000)  12 Ga 3.18

magnetic moment = 0.000 μB/atom

Of them, a has the lowest stability.

a:
Density functional theory data (PBE) for a relaxed Gd2BeAu crystal.

Lattice parameters (Å, degrees): 3.5693 3.5693 6.9956 90.00 90.00 90.00
Closest atoms and distances in Å follow each position.
Element x y z (fractional)
Gd (0.0000, 0.0000, 0.2356)  4 Be 3.01, 4 Au 3.13, 1 Gd 3.30
Gd (0.0000, 0.0000, 0.7644)  4 Be 3.01, 4 Au 3.13, 1 Gd 3.30
Be (0.5000, 0.5000, 0.0000)  8 Gd 3.01
Au (0.5000, 0.5000, 0.5000)  8 Gd 3.13, 2 Be 3.50

magnetic moment = 3.588 μB/atom

b:
Density functional theory data (PBE) for a relaxed Gd2BeAu crystal.

Lattice parameters (Å, degrees): 5.0525 5.0525 5.0525 60.00 60.00 60.00
Closest atoms and distances in Å follow each position.
Element x y z (fractional)
Gd (0.2500, 0.2500, 0.2500)  4 Au 3.09, 4 Be 3.09
Gd (0.7500, 0.7500, 0.7500)  4 Au 3.09, 4 Be 3.09
Be (0.0000, 0.0000, 0.0000)  8 Gd 3.09
Au (0.5000, 0.5000, 0.5000)  8 Gd 3.09

magnetic moment = 3.532 μB/atom

Of them, b has the lowest stability.

a:
Density functional theory data (PBE) for a relaxed BeGe2Au2 crystal.

Lattice parameters (Å, degrees): 6.0493 6.0493 4.8774 90.00 90.00 90.00
Closest atoms and distances in Å follow each position.
Element x y z (fractional)
Be (0.0000, 0.0000, 0.0000)  4 Ge 2.32
Be (0.5000, 0.5000, 0.0000)  4 Ge 2.32
Ge (0.1463, 0.3537, 0.0000)  2 Be 2.32, 1 Ge 2.50
Ge (0.3537, 0.8537, 0.0000)  2 Be 2.32, 1 Ge 2.50
Ge (0.6463, 0.1463, 0.0000)  2 Be 2.32, 1 Ge 2.50
Ge (0.8537, 0.6463, 0.0000)  2 Be 2.32, 1 Ge 2.50
Au (0.2445, 0.7445, 0.5000)  2 Ge 2.61
Au (0.2555, 0.2445, 0.5000)  2 Ge 2.61
Au (0.7445, 0.7555, 0.5000)  2 Ge 2.61
Au (0.7555, 0.2555, 0.5000)  2 Ge 2.61

magnetic moment = 0.000 μB/atom

b:
Density functional theory data (PBE) for a relaxed BeGe2Au2 crystal.

Lattice parameters (Å, degrees): 6.5330 6.5330 4.2747 90.00 90.00 90.00
Closest atoms and distances in Å follow each position.
Element x y z (fractional)
Be (0.0000, 0.0000, 0.0000)  4 Au 2.41
Be (0.5000, 0.5000, 0.0000)  4 Au 2.41
Ge (0.1477, 0.3523, 0.5000)  2 Au 2.68, 1 Ge 2.73
Ge (0.3523, 0.8523, 0.5000)  2 Au 2.68, 1 Ge 2.73
Ge (0.6477, 0.1477, 0.5000)  2 Au 2.68, 1 Ge 2.73
Ge (0.8523, 0.6477, 0.5000)  2 Au 2.68, 1 Ge 2.73
Au (0.1765, 0.6765, 0.0000)  2 Be 2.41, 2 Ge 2.68
Au (0.3235, 0.1765, 0.0000)  2 Be 2.41, 2 Ge 2.68
Au (0.6765, 0.8235, 0.0000)  2 Be 2.41, 2 Ge 2.68
Au (0.8235, 0.3235, 0.0000)  2 Be 2.41, 2 Ge 2.68

magnetic moment = 0.000 μB/atom

Of them, a has the lowest stability.